ReOsRu: optimized geometry, GGA-PBE.

Cell: 4.171 4.171 4.171 Å, 60.00 60.00 60.00°
Fractional coordinates of all 3 atoms:
Re (0.000, 0.000, 0.000)
Os (0.750, 0.750, 0.750)
Ru (0.250, 0.250, 0.250)

Results
E_form: 538 meV per atom
Raw total energy: -31.34 eV per formula unit